No. 1
This record from the Alexandria database describes Dy2Be4Pt5 after structural relaxation. The functional is PBE-GGA.

a b c (Å): 5.498 9.284 13.594
angles (deg): 90.00 90.00 90.00
Space group Fmmm (No. 69)
Inequivalent atoms, fractional coordinates:
Dy: 0.000 0.000 0.131 x8
Be: 0.000 0.161 0.371 x16
Pt: 0.000 0.000 0.500 x4
Pt: 0.250 0.250 0.000 x8
Pt: 0.250 0.250 0.250 x8

Summary:
Formation energy = -914 meV/atom
Total energy = -5.852 eV/atom

No. 2
This record from the Alexandria database describes DyBe4Pt8 after structural relaxation. The functional is PBE-GGA.

a b c (Å): 8.498 8.498 5.143
angles (deg): 90.00 90.00 90.00
Space group I4/mmm (No. 139)
Inequivalent atoms, fractional coordinates:
Dy: 0.000 0.000 0.000 x2
Be: 0.250 0.250 0.250 x8
Pt: 0.000 0.226 0.500 x8
Pt: 0.000 0.332 0.000 x8

Summary:
Formation energy = -674 meV/atom
Total energy = -5.892 eV/atom

No. 3
This record from the Alexandria database describes DyBe2Pt3 after structural relaxation. The functional is PBE-GGA.

a b c (Å): 9.0969 9.0969 3.8717
angles (deg): 90.00 90.00 120.00
Space group P6/mmm (No. 191)
Inequivalent atoms, fractional coordinates:
Dy: 0.0000 0.0000 0.0000 x1
Dy: 0.3333 0.6667 0.5000 x2
Be: 0.1822 0.3645 0.0000 x6
Pt: 0.0000 0.2922 0.5000 x6
Pt: 0.0000 0.5000 0.0000 x3

Summary:
Formation energy = -797 meV/atom
Total energy = -5.827 eV/atom